Entry 1
The following is a PBE-GGA calculation of crystalline La4AgRu2 at its relaxed geometry, from Alexandria via LeMat-Bulk.

Cell lengths 7.337, 7.240, 8.666 Å; angles 107.88, 108.30, 105.17 degrees
Fractional positions:
1 La 0.647 0.905 0.193
2 La 0.028 0.443 0.312
3 La 0.185 0.764 0.796
4 La 0.595 0.811 0.608
5 La 0.737 0.453 0.892
6 La 0.466 0.381 0.188
7 La 0.138 0.218 0.704
8 La 0.204 0.962 0.307
9 Ru 0.369 0.433 0.559
10 Ru 0.241 0.605 0.080
11 Ru 0.911 0.775 0.420
12 Ru 0.560 0.123 0.941
13 Ag 0.951 0.055 0.983
14 Ag 0.718 0.322 0.517

Spin magnetization = 0.00 μB per formula unit
Mass density = 7.528 g cm⁻³

---

Entry 2
The following is a PBE-GGA calculation of crystalline La4AgRu2 at its relaxed geometry, from Alexandria via LeMat-Bulk.

Cell lengths 7.430, 8.634, 7.741 Å; angles 125.33, 95.29, 96.34 degrees
Fractional positions:
1 La 0.795 0.459 0.099
2 La 0.472 0.117 0.169
3 La 0.943 0.274 0.426
4 La 0.777 0.946 0.587
5 La 0.322 0.110 0.627
6 La 0.435 0.587 0.746
7 La 0.936 0.748 0.950
8 La 0.345 0.582 0.209
9 Ag 0.090 0.149 0.990
10 Ag 0.102 0.731 0.580
11 Ru 0.634 0.281 0.630
12 Ru 0.631 0.867 0.219
13 Ru 0.688 0.510 0.438
14 Ru 0.080 0.389 0.830

Spin magnetization = 0.00 μB per formula unit
Mass density = 7.276 g cm⁻³

---

It turns out entry 1 is the most stable, with the second structure 0.021 eV/atom higher.

---

Entry 1
The following is a PBE-GGA calculation of crystalline LaAg2Ru at its relaxed geometry, from Alexandria via LeMat-Bulk.

Cell lengths 3.763, 3.275, 7.084 Å; angles 71.25, 90.00, 90.00 degrees
Fractional positions:
1 Ru 0.500 0.666 0.763
2 La 0.000 0.557 0.540
3 Ag 0.500 0.317 0.201
4 Ag 0.000 0.960 0.997

Spin magnetization = 0.00 μB per formula unit
Mass density = 9.153 g cm⁻³

---

Entry 2
The following is a PBE-GGA calculation of crystalline LaAg2Ru at its relaxed geometry, from Alexandria via LeMat-Bulk.

Cell lengths 10.467, 10.467, 10.467 Å; angles 16.40, 16.40, 16.40 degrees
Site moments in Bohr magnetons follow the coordinates.
Fractional positions:
1 Ru 0.250 0.250 0.250  -0.40
2 Ag 0.990 0.990 0.990  0.00
3 Ag 0.510 0.510 0.510  0.00
4 La 0.750 0.750 0.750  0.58

Spin magnetization = 0.40 μB per formula unit
Mass density = 9.499 g cm⁻³

---

Entry 3
The following is a PBE-GGA calculation of crystalline LaAg2Ru at its relaxed geometry, from Alexandria via LeMat-Bulk.

Cell lengths 3.949, 3.949, 11.315 Å; angles 79.95, 79.95, 90.00 degrees
Fractional positions:
1 Ru 0.250 0.750 0.500
2 Ru 0.500 0.500 0.000
3 Ag 0.875 0.857 0.750
4 Ag 0.607 0.125 0.250
5 Ag 0.143 0.625 0.250
6 Ag 0.375 0.393 0.750
7 La 0.000 0.000 0.000
8 La 0.750 0.250 0.500

Spin magnetization = 0.00 μB per formula unit
Mass density = 8.852 g cm⁻³

---

Entry 4
The following is a PBE-GGA calculation of crystalline LaAg2Ru at its relaxed geometry, from Alexandria via LeMat-Bulk.

Cell lengths 5.490, 5.490, 5.490 Å; angles 51.84, 51.84, 51.84 degrees
Fractional positions:
1 Ru 0.677 0.677 0.677
2 Ag 0.019 0.019 0.019
3 Ag 0.297 0.297 0.297
4 La 0.508 0.508 0.508

Spin magnetization = 0.00 μB per formula unit
Mass density = 8.004 g cm⁻³

---

It turns out entry 4 is the most stable, with the second structure 0.057 eV/atom higher.

---

Entry 1
The following is a PBE-GGA calculation of crystalline LaAg2Ru at its relaxed geometry, from Alexandria via LeMat-Bulk.

Cell lengths 4.973, 3.425, 5.237 Å; angles 72.25, 90.00, 90.00 degrees
Fractional positions:
1 Ag 0.000 0.903 0.967
2 Ag 0.000 0.597 0.533
3 Ru 0.500 0.750 0.750
4 La 0.500 0.250 0.250

Spin magnetization = 0.00 μB per formula unit
Mass density = 8.909 g cm⁻³

---

Entry 2
The following is a PBE-GGA calculation of crystalline LaAg2Ru at its relaxed geometry, from Alexandria via LeMat-Bulk.

Cell lengths 3.452, 3.784, 6.338 Å; angles 90.00, 90.00, 90.00 degrees
Fractional positions:
1 Ag 0.000 0.000 0.008
2 Ag 0.500 0.500 0.207
3 La 0.000 0.000 0.538
4 Ru 0.500 0.500 0.748

Spin magnetization = 0.00 μB per formula unit
Mass density = 9.140 g cm⁻³

---

It turns out entry 1 is the most stable, with the second structure 0.019 eV/atom higher.

---

Entry 1
The following is a PBE-GGA calculation of crystalline LaAg2Ru at its relaxed geometry, from Alexandria via LeMat-Bulk.

Cell lengths 4.888, 4.888, 4.888 Å; angles 60.00, 60.00, 60.00 degrees
Fractional positions:
1 Ag 0.250 0.250 0.250
2 Ag 0.000 0.000 0.000
3 La 0.500 0.500 0.500
4 Ru 0.750 0.750 0.750

Spin magnetization = 0.00 μB per formula unit
Mass density = 9.164 g cm⁻³

---

Entry 2
The following is a PBE-GGA calculation of crystalline LaAg2Ru at its relaxed geometry, from Alexandria via LeMat-Bulk.

Cell lengths 5.292, 5.292, 4.909 Å; angles 63.09, 63.09, 43.37 degrees
Fractional positions:
1 Ag 0.750 0.750 0.753
2 Ag 0.982 0.982 0.013
3 Ru 0.236 0.236 0.270
4 La 0.532 0.532 0.464

Spin magnetization = 0.00 μB per formula unit
Mass density = 9.176 g cm⁻³

---

It turns out entry 2 is the most stable, with the second structure 0.073 eV/atom higher.

---

Entry 1
The following is a PBE-GGA calculation of crystalline LaAg2Ru at its relaxed geometry, from Alexandria via LeMat-Bulk.

Cell lengths 4.922, 4.922, 4.922 Å; angles 60.00, 60.00, 60.00 degrees
Fractional positions:
1 Ag 0.750 0.750 0.750
2 Ag 0.250 0.250 0.250
3 Ru 0.000 0.000 0.000
4 La 0.500 0.500 0.500

Spin magnetization = 0.00 μB per formula unit
Mass density = 8.976 g cm⁻³

---

Entry 2
The following is a PBE-GGA calculation of crystalline LaAg2Ru at its relaxed geometry, from Alexandria via LeMat-Bulk.

Cell lengths 4.058, 4.058, 4.857 Å; angles 90.00, 90.00, 90.00 degrees
Fractional positions:
1 La 0.500 0.000 0.500
2 Ru 0.000 0.500 0.500
3 Ag 0.000 0.000 0.000
4 Ag 0.500 0.500 0.000

Spin magnetization = 0.00 μB per formula unit
Mass density = 9.461 g cm⁻³

---

It turns out entry 2 is the most stable, with the second structure 0.243 eV/atom higher.

---

Entry 1
The following is a PBE-GGA calculation of crystalline LaAgRu at its relaxed geometry, from Alexandria via LeMat-Bulk.

Cell lengths 4.663, 4.663, 4.663 Å; angles 60.00, 60.00, 60.00 degrees
Fractional positions:
1 Ag 0.000 0.000 0.000
2 La 0.500 0.500 0.500
3 Ru 0.250 0.250 0.250

Spin magnetization = 0.00 μB per formula unit
Mass density = 8.058 g cm⁻³

---

Entry 2
The following is a PBE-GGA calculation of crystalline LaAgRu at its relaxed geometry, from Alexandria via LeMat-Bulk.

Cell lengths 4.596, 4.596, 3.770 Å; angles 90.00, 90.00, 120.00 degrees
Fractional positions:
1 La 0.667 0.333 0.333
2 Ag 0.000 0.000 0.833
3 Ru 0.333 0.667 0.833

Spin magnetization = 0.00 μB per formula unit
Mass density = 8.377 g cm⁻³

---

Entry 3
The following is a PBE-GGA calculation of crystalline LaAgRu at its relaxed geometry, from Alexandria via LeMat-Bulk.

Cell lengths 5.613, 5.613, 5.613 Å; angles 142.60, 142.62, 53.91 degrees
Fractional positions:
1 Ag 0.019 0.019 0.000
2 Ru 0.661 0.661 0.000
3 La 0.320 0.320 0.000

Spin magnetization = 0.00 μB per formula unit
Mass density = 8.915 g cm⁻³

---

Entry 4
The following is a PBE-GGA calculation of crystalline LaAgRu at its relaxed geometry, from Alexandria via LeMat-Bulk.

Cell lengths 4.718, 4.718, 4.718 Å; angles 60.00, 60.00, 60.00 degrees
Fractional positions:
1 Ru 0.000 0.000 0.000
2 La 0.250 0.250 0.250
3 Ag 0.500 0.500 0.500

Spin magnetization = 0.00 μB per formula unit
Mass density = 7.780 g cm⁻³

---

It turns out entry 2 is the most stable, with the second structure 0.011 eV/atom higher.

---

Entry 1
The following is a PBE-GGA calculation of crystalline La8AgRu2 at its relaxed geometry, from Alexandria via LeMat-Bulk.

Cell lengths 7.306, 7.629, 7.629 Å; angles 69.37, 107.26, 107.26 degrees
Fractional positions:
1 La 0.301 0.809 0.409
2 La 0.810 0.681 0.681
3 La 0.699 0.191 0.591
4 La 0.291 0.879 0.879
5 La 0.190 0.319 0.319
6 La 0.699 0.591 0.191
7 La 0.301 0.409 0.809
8 La 0.709 0.121 0.121
9 Ru 0.387 0.180 0.180
10 Ru 0.613 0.820 0.820
11 Ag 0.000 0.000 0.000

Spin magnetization = 0.00 μB per formula unit
Mass density = 6.359 g cm⁻³

---

Entry 2
The following is a PBE-GGA calculation of crystalline La8AgRu2 at its relaxed geometry, from Alexandria via LeMat-Bulk.

Cell lengths 5.997, 8.139, 8.139 Å; angles 116.03, 98.79, 98.79 degrees
Fractional positions:
1 La 0.194 0.394 0.394
2 La 0.000 0.768 0.241
3 La 0.000 0.241 0.768
4 La 0.432 0.916 0.664
5 La 0.568 0.343 0.090
6 La 0.432 0.664 0.916
7 La 0.568 0.090 0.343
8 La 0.806 0.611 0.611
9 Ru 0.498 0.285 0.718
10 Ru 0.498 0.718 0.285
11 Ag 0.002 0.002 0.002

Spin magnetization = 0.00 μB per formula unit
Mass density = 6.906 g cm⁻³

---

It turns out entry 1 is the most stable, with the second structure 0.006 eV/atom higher.

---

Entry 1
The following is a PBE-GGA calculation of crystalline LaAgRu3 at its relaxed geometry, from Alexandria via LeMat-Bulk.

Cell lengths 4.816, 4.816, 4.816 Å; angles 90.00, 90.00, 90.00 degrees
Site moments in Bohr magnetons follow the coordinates.
Fractional positions:
1 La 0.000 0.000 0.000  -0.06
2 Ag 0.500 0.500 0.500  0.01
3 Ru 0.000 0.500 0.000  1.13
4 Ru 0.500 0.000 0.000  1.09
5 Ru 0.000 0.000 0.500  0.89

Spin magnetization = 3.09 μB per formula unit
Mass density = 8.176 g cm⁻³

---

Entry 2
The following is a PBE-GGA calculation of crystalline LaAgRu3 at its relaxed geometry, from Alexandria via LeMat-Bulk.

Cell lengths 4.868, 4.868, 4.868 Å; angles 90.00, 90.00, 90.00 degrees
Site moments in Bohr magnetons follow the coordinates.
Fractional positions:
1 Ag 0.000 0.000 0.000  0.17
2 Ru 0.000 0.000 0.500  1.78
3 Ru 0.500 0.000 0.000  0.95
4 Ru 0.000 0.500 0.000  1.41
5 La 0.500 0.500 0.500  -0.08

Spin magnetization = 4.36 μB per formula unit
Mass density = 7.918 g cm⁻³

---

It turns out entry 2 is the most stable, with the second structure 0.355 eV/atom higher.

---

Entry 1
The following is a PBE-GGA calculation of crystalline La3AgRu at its relaxed geometry, from Alexandria via LeMat-Bulk.

Cell lengths 4.456, 8.877, 15.074 Å; angles 90.00, 90.00, 90.00 degrees
Fractional positions:
1 La 0.250 0.997 0.390
2 La 0.250 0.175 0.797
3 La 0.250 0.349 0.523
4 La 0.250 0.497 0.110
5 La 0.750 0.825 0.203
6 La 0.750 0.003 0.610
7 La 0.250 0.675 0.703
8 La 0.750 0.651 0.477
9 La 0.750 0.503 0.890
10 La 0.750 0.151 0.023
11 La 0.250 0.849 0.977
12 La 0.750 0.325 0.297
13 Ag 0.250 0.610 0.322
14 Ag 0.750 0.390 0.678
15 Ag 0.750 0.890 0.822
16 Ag 0.250 0.110 0.178
17 Ru 0.250 0.304 0.949
18 Ru 0.250 0.804 0.551
19 Ru 0.750 0.696 0.051
20 Ru 0.750 0.196 0.449

Spin magnetization = 0.00 μB per formula unit
Mass density = 6.969 g cm⁻³

---

Entry 2
The following is a PBE-GGA calculation of crystalline La3AgRu at its relaxed geometry, from Alexandria via LeMat-Bulk.

Cell lengths 5.938, 6.850, 8.751 Å; angles 114.24, 84.28, 114.65 degrees
Fractional positions:
1 La 0.886 0.805 0.771
2 La 0.448 0.780 0.126
3 La 0.143 0.367 0.676
4 La 0.552 0.220 0.874
5 La 0.857 0.633 0.324
6 La 0.114 0.195 0.229
7 Ru 0.081 0.308 0.964
8 Ru 0.919 0.692 0.036
9 Ag 0.395 0.772 0.514
10 Ag 0.605 0.228 0.486

Spin magnetization = 0.00 μB per formula unit
Mass density = 7.069 g cm⁻³

---

It turns out entry 1 is the most stable, with the second structure 0.036 eV/atom higher.

---

Entry 1
The following is a PBE-GGA calculation of crystalline LaTbAgRu at its relaxed geometry, from Alexandria via LeMat-Bulk.

Cell lengths 5.095, 5.095, 5.095 Å; angles 60.00, 60.00, 60.00 degrees
Fractional positions:
1 Ag 0.500 0.500 0.500
2 Tb 0.250 0.250 0.250
3 Ru 0.000 0.000 0.000
4 La 0.750 0.750 0.750

Spin magnetization = 0.00 μB per formula unit
Mass density = 8.999 g cm⁻³

---

Entry 2
The following is a PBE-GGA calculation of crystalline LaTbAgRu at its relaxed geometry, from Alexandria via LeMat-Bulk.

Cell lengths 3.489, 3.489, 7.781 Å; angles 90.00, 90.00, 90.00 degrees
Fractional positions:
1 Ag 0.000 0.000 0.092
2 Tb 0.500 0.500 0.346
3 Ru 0.000 0.000 0.556
4 La 0.500 0.500 0.791

Spin magnetization = 0.00 μB per formula unit
Mass density = 8.886 g cm⁻³

---

It turns out entry 2 is the most stable, with the second structure 0.074 eV/atom higher.

---

Entry 1
The following is a PBE-GGA calculation of crystalline La2AgS4 at its relaxed geometry, from Alexandria via LeMat-Bulk.

Cell lengths 7.087, 5.742, 8.371 Å; angles 90.00, 107.22, 90.00 degrees
Fractional positions:
1 S 0.940 0.250 0.607
2 S 0.945 0.250 0.115
3 S 0.467 0.522 0.740
4 S 0.055 0.750 0.885
5 S 0.533 0.478 0.260
6 S 0.533 0.022 0.260
7 S 0.060 0.750 0.393
8 S 0.467 0.978 0.740
9 La 0.230 0.250 0.437
10 La 0.770 0.750 0.563
11 La 0.762 0.750 0.070
12 La 0.238 0.250 0.930
13 Ag 0.248 0.750 0.184
14 Ag 0.752 0.250 0.816

Spin magnetization = 0.00 μB per formula unit
Mass density = 5.246 g cm⁻³

---

Entry 2
The following is a PBE-GGA calculation of crystalline La2AgS4 at its relaxed geometry, from Alexandria via LeMat-Bulk.

Cell lengths 4.712, 4.712, 8.320 Å; angles 73.55, 73.55, 90.00 degrees
Fractional positions:
1 Ag 0.000 0.000 0.000
2 La 0.365 0.365 0.270
3 La 0.635 0.635 0.730
4 S 0.000 0.500 0.000
5 S 0.500 0.000 0.000
6 S 0.185 0.185 0.630
7 S 0.815 0.815 0.370

Spin magnetization = 0.00 μB per formula unit
Mass density = 5.042 g cm⁻³

---

It turns out entry 1 is the most stable, with the second structure 0.147 eV/atom higher.